Material: YCo2Si
Method: DFT, GGA-PBEsol
State: optimized geometry

abc: 2.885 3.135 6.415
angles: 90.00 90.00 90.00
Space group Pmm2 (No. 25)
Asymmetric unit:
Y1 0.000 0.000 0.000 x1
Co1 0.000 0.000 0.499 x1
Co2 0.500 0.500 0.304 x1
Si1 0.500 0.500 0.668 x1

Values from the calculation:
N(E_F) in states/eV per cell: 4.88
E_form (uncorrected) in eV per atom: -0.1641
Final energy in eV per atom: -7.175